# 1
## Rb3Cd2PbCl9 (PBE)

Data for a geometry-optimized Rb3Cd2PbCl9 structure.

a b c (Å): 7.6132 7.6132 9.5280
angles (deg): 90.00 90.00 120.00
With the nearest neighbours (Å) after each atom.
Fractional coordinates of all 15 atoms:
Rb 0.3333 0.6667 0.6978  9 Cl 3.62-3.81
Rb 0.0000 0.0000 0.0000  12 Cl 3.77-3.81
Rb 0.6667 0.3333 0.3022  9 Cl 3.62-3.81
Cd 0.3333 0.6667 0.1598  6 Cl 2.62-2.67
Cd 0.6667 0.3333 0.8402  6 Cl 2.62-2.67
Pb 0.0000 0.0000 0.5000  6 Cl 2.84
Cl 0.8297 0.1703 0.6827  1 Cd 2.62, 1 Pb 2.84
Cl 0.8297 0.6593 0.6827  1 Cd 2.62, 1 Pb 2.84
Cl 0.3407 0.1703 0.6827  1 Cd 2.62, 1 Pb 2.84
Cl 0.6593 0.8297 0.3173  1 Cd 2.62, 1 Pb 2.84
Cl 0.1703 0.3407 0.3173  1 Cd 2.62, 1 Pb 2.84
Cl 0.1703 0.8297 0.3173  1 Cd 2.62, 1 Pb 2.84
Cl 0.5000 0.0000 0.0000  2 Cd 2.67
Cl 0.0000 0.5000 0.0000  2 Cd 2.67
Cl 0.5000 0.5000 0.0000  2 Cd 2.67

Energy, eV/cell: -46.82
V, Å³/atom: 31.88

# 2
## Rb2CdPbCl6 (PBE)

Data for a geometry-optimized Rb2CdPbCl6 structure.

a b c (Å): 7.7579 7.7579 7.7598
angles (deg): 60.01 60.01 90.00
With the nearest neighbours (Å) after each atom.
Fractional coordinates of all 10 atoms:
Pb 0.0000 0.0000 0.0000  6 Cl 2.85
Cl 0.2594 0.2594 0.4813  1 Cd 2.64, 1 Pb 2.85
Cl 0.7406 0.7406 0.5187  1 Cd 2.64, 1 Pb 2.85
Cl 0.2594 0.2594 0.0000  1 Cd 2.64, 1 Pb 2.85
Cl 0.7406 0.7406 0.0000  1 Cd 2.64, 1 Pb 2.85
Cl 0.7406 0.2594 0.0000  1 Cd 2.64, 1 Pb 2.85
Cl 0.2594 0.7406 0.0000  1 Cd 2.64, 1 Pb 2.85
Rb 0.7500 0.2500 0.5000  12 Cl 3.88
Rb 0.2500 0.7500 0.5000  12 Cl 3.88
Cd 0.5000 0.5000 0.0000  6 Cl 2.64

Energy, eV/cell: -32.19
V, Å³/atom: 33.03

# 3
## CdPb2S2Cl2 (PBE)

Data for a geometry-optimized CdPb2S2Cl2 structure.

a b c (Å): 5.1205 5.1205 8.2513
angles (deg): 108.08 108.08 90.00
With the nearest neighbours (Å) after each atom.
Fractional coordinates of all 7 atoms:
Cd 0.0000 0.0000 0.0000  4 S 2.56, 2 Cl 2.84
Pb 0.3821 0.3821 0.7642  1 Cl 2.82, 4 S 3.10
Pb 0.6179 0.6179 0.2358  1 Cl 2.82, 4 S 3.10
S 0.0000 0.5000 0.0000  2 Cd 2.56
S 0.5000 0.0000 0.0000  2 Cd 2.56
Cl 0.1918 0.1918 0.3836  1 Pb 2.82, 1 Cd 2.84
Cl 0.8082 0.8082 0.6164  1 Pb 2.82, 1 Cd 2.84

Energy, eV/cell: -24.91
V, Å³/atom: 27.77